TaFe2S: optimized geometry, PBE.

POSCAR file:
```
TaFe2S
1.0
-3.098 3.377 2.557
-4.185 -1.952 -2.492
-4.262 -2.624 3.687
Fe S Ta
4 2 2
Direct
0.574 0.125 0.250 Fe
0.176 0.625 0.250 Fe
0.875 0.824 0.750 Fe
0.375 0.426 0.750 Fe
0.250 0.750 0.500 S
0.500 0.500 0.000 S
0.750 0.250 0.500 Ta
0.000 0.000 0.000 Ta
```

## Properties
- Energy relative to the elements, uncorrected: 456 meV/atom
- Density of states at the Fermi level: 4.0 states/eV/f.u.



PmTlIn: optimized geometry, PBE.

POSCAR file:
```
PmTlIn
1.0
6.208 -1.968 0.000
-3.037 5.761 0.000
0.000 0.000 5.729
Pm In Tl
2 2 2
Direct
0.603 0.397 0.250 Pm
0.397 0.603 0.750 Pm
0.075 0.925 0.750 In
0.925 0.075 0.250 In
0.270 0.730 0.250 Tl
0.730 0.270 0.750 Tl
```

## Properties
- Energy relative to the elements: -26.0 kJ/mol of atoms
- Energy above the lowest structure with this stoichiometry: 0.27 eV per formula unit
- Density of states at the Fermi level: 1.3 states/eV/f.u.



LiCeSb: optimized geometry, PBE.

POSCAR file:
```
LiCeSb
1.0
-3.452 1.030 2.263
-2.524 -0.202 -3.759
0.567 -3.703 2.551
Ce Sb Li
1 1 1
Direct
0.333 0.333 0.667 Ce
0.833 0.667 0.333 Sb
0.834 0.000 0.000 Li
```

## Properties
- Energy relative to the elements, uncorrected: -728 meV/atom
- Energy above the lowest structure with this stoichiometry: 0.10 eV per formula unit
- Density of states at the Fermi level: 8.1 states/eV/f.u.



KCd2Sn2Au2: optimized geometry, PBE.

POSCAR file:
```
KCd2Sn2Au2
1.0
-2.086 4.192 -0.002
-4.618 0.318 0.711
-0.642 2.300 10.227
Cd K Sn Au
2 1 2 2
Direct
0.862 0.862 0.413 Cd
0.138 0.138 0.587 Cd
0.000 0.000 0.000 K
0.586 0.586 0.242 Sn
0.414 0.414 0.758 Sn
0.233 0.233 0.301 Au
0.767 0.767 0.699 Au
```

## Properties
- Energy relative to the elements: -20.3 kJ/mol of atoms
- Density of states at the Fermi level: 3.3 states/eV/f.u.



NdBiH6Ir2: optimized geometry, PBE.

POSCAR file:
```
NdBiH6Ir2
1.0
7.162 -0.995 0.844
-1.864 6.986 0.844
-0.628 -0.711 4.566
H Nd Ir Bi
12 2 4 2
Direct
0.130 0.130 0.001 H
0.870 0.870 0.499 H
0.926 0.559 0.973 H
0.441 0.074 0.527 H
0.074 0.441 0.027 H
0.559 0.926 0.473 H
0.923 0.557 0.525 H
0.077 0.443 0.475 H
0.870 0.870 0.999 H
0.130 0.130 0.501 H
0.557 0.923 0.025 H
0.443 0.077 0.975 H
0.167 0.833 0.250 Nd
0.833 0.167 0.750 Nd
0.675 0.835 0.249 Ir
0.325 0.165 0.751 Ir
0.165 0.325 0.251 Ir
0.835 0.675 0.749 Ir
0.594 0.406 0.250 Bi
0.406 0.594 0.750 Bi
```

## Properties
- Energy: -4.87 eV per atom
- Density of states at the Fermi level: 1.1 states/eV/f.u.



TcHg2AuSe: optimized geometry, PBE.

POSCAR file:
```
TcHg2AuSe
1.0
-0.638 2.757 4.370
-4.950 1.188 -1.473
-1.746 -4.259 2.432
Au Hg Se Tc
1 2 1 1
Direct
0.000 0.000 0.000 Au
0.500 0.000 0.000 Hg
0.000 0.000 0.500 Hg
0.500 0.500 0.500 Se
0.000 0.500 0.000 Tc
```

## Properties
- Energy relative to the elements, uncorrected: 957 meV/atom
- Density of states at the Fermi level: 3.6 states/eV/f.u.



Na2ScPaS5: optimized geometry, PBE.

POSCAR file:
```
Na2ScPaS5
1.0
5.057 0.000 0.000
0.000 5.057 0.000
0.000 0.000 10.041
Sc S Na Pa
1 5 2 1
Direct
0.000 0.000 0.000 Sc
0.500 0.500 0.000 S
0.000 0.000 0.238 S
0.000 0.000 0.762 S
0.000 0.500 0.500 S
0.500 0.000 0.500 S
0.500 0.500 0.731 Na
0.500 0.500 0.269 Na
0.000 0.000 0.500 Pa
```

## Properties
- Energy relative to the elements, uncorrected: -1172 meV/atom



BaTcIr2: optimized geometry, PBE.

POSCAR file:
```
BaTcIr2
1.0
10.325 -0.002 -0.001
9.910 2.896 -0.001
9.910 1.418 2.526
Ir Ba Tc
2 1 1
Direct
0.249 0.249 0.249 Ir
0.987 0.987 0.987 Ir
0.748 0.748 0.748 Ba
0.516 0.516 0.516 Tc
```

## Properties
- Energy relative to the elements: 83.8 kJ/mol of atoms
- Energy above the lowest structure with this stoichiometry: 3.09 eV per formula unit
- Density of states at the Fermi level: 5.9 states/eV/f.u.



Li3CdCu: optimized geometry, PBE.

POSCAR file:
```
Li3CdCu
1.0
-3.176 0.632 -2.785
-3.844 -0.739 4.216
-0.384 6.392 1.888
Cu Cd Li
2 2 6
Direct
0.624 0.426 0.369 Cu
0.124 0.672 0.278 Cu
0.624 0.216 0.759 Cd
0.124 0.882 0.888 Cd
0.624 0.595 0.002 Li
0.124 0.503 0.645 Li
0.124 0.109 0.461 Li
0.624 0.990 0.186 Li
0.624 0.779 0.576 Li
0.124 0.319 0.071 Li
```

## Properties
- Energy relative to the elements: -10.6 kJ/mol of atoms
- Energy above the lowest structure with this stoichiometry: 0.00 eV per formula unit
- Density of states at the Fermi level: 1.4 states/eV/f.u.



NaLiCa2Ga: optimized geometry, PBE.

POSCAR file:
```
NaLiCa2Ga
1.0
-2.770 -1.632 -4.885
-2.951 -4.044 3.024
-3.699 3.415 0.957
Na Ca Li Ga
1 2 1 1
Direct
0.500 0.500 0.500 Na
0.500 0.000 0.000 Ca
0.000 0.500 0.000 Ca
0.000 0.000 0.500 Li
0.000 0.000 0.000 Ga
```

## Properties
- Energy relative to the elements: -2.5 kJ/mol of atoms
- Density of states at the Fermi level: 3.9 states/eV/f.u.



ErAl2Cu4Si: optimized geometry, PBE.

POSCAR file:
```
ErAl2Cu4Si
1.0
4.109 0.000 0.000
2.054 3.558 0.000
2.054 1.186 8.428
Cu Al Si Er
4 2 1 1
Direct
0.130 0.130 0.610 Cu
0.870 0.870 0.390 Cu
0.595 0.595 0.216 Cu
0.405 0.405 0.784 Cu
0.752 0.752 0.745 Al
0.248 0.248 0.255 Al
0.500 0.500 0.500 Si
0.000 0.000 0.000 Er
```

## Properties
- Energy relative to the elements, uncorrected: -214 meV/atom
- Density of states at the Fermi level: 2.3 states/eV/f.u.



ZrZn10Ag: optimized geometry, PBE.

POSCAR file:
```
ZrZn10Ag
1.0
-1.029 -1.945 -3.629
0.512 -4.523 2.279
-8.640 0.201 2.341
Zn Ag Zr
10 1 1
Direct
0.000 0.500 0.161 Zn
0.500 0.260 0.737 Zn
0.500 0.500 0.000 Zn
0.500 0.260 0.263 Zn
0.500 0.740 0.263 Zn
0.500 0.000 0.500 Zn
0.000 0.500 0.839 Zn
0.000 0.000 0.680 Zn
0.500 0.740 0.737 Zn
0.000 0.000 0.320 Zn
0.000 0.000 0.000 Ag
0.000 0.500 0.500 Zr
```

## Properties
- Energy relative to the elements: -3.8 kJ/mol of atoms
- Density of states at the Fermi level: 4.2 states/eV/f.u.



no.,mass density (g cm⁻³)
1,7.9
2,9.0
3,5.9
4,7.7
5,10.8
6,9.0
7,3.1
8,13.6
9,4.0
10,1.7
11,6.8
12,7.3